# ScIO2F PBE-GGA optimized geometry
data_ScIO2F
_chemical_formula_sum 'Sc1 I1 O2 F1'
_cell_length_a 4.076
_cell_length_b 4.076
_cell_length_c 5.576
_cell_angle_alpha 90.00
_cell_angle_beta 90.00
_cell_angle_gamma 90.00
_symmetry_space_group_name_H-M 'P 4/m m m'
_symmetry_Int_Tables_number 123
_symmetry_space_group_name_Hall '-P 4 2'
loop_
_atom_site_label
_atom_site_type_symbol
_atom_site_fract_x
_atom_site_fract_y
_atom_site_fract_z
Sc1 Sc 0.000 0.000 0.000
I1 I 0.500 0.500 0.500
O1 O 0.000 0.500 0.500
F1 F 0.500 0.500 0.000
# Calculated total energy   -22.0 eV/cell
# V   18.5 Å³ per atom
# Raw formation energy   -0.47 eV/atom

***

# ScI2OF PBE-GGA optimized geometry
data_ScI2OF
_chemical_formula_sum 'Sc1 I2 O1 F1'
_cell_length_a 5.211
_cell_length_b 5.211
_cell_length_c 3.878
_cell_angle_alpha 90.00
_cell_angle_beta 90.00
_cell_angle_gamma 90.00
_symmetry_space_group_name_H-M 'P 4/m m m'
_symmetry_Int_Tables_number 123
_symmetry_space_group_name_Hall '-P 4 2'
loop_
_atom_site_label
_atom_site_type_symbol
_atom_site_fract_x
_atom_site_fract_y
_atom_site_fract_z
Sc1 Sc 0.000 0.000 0.000
I1 I 0.000 0.500 0.500
O1 O 0.500 0.500 0.000
F1 F 0.500 0.500 0.500
# Calculated total energy   -16.1 eV/cell
# Energy above the most stable polymorph in this dataset   1136 meV/atom
# V   21.1 Å³ per atom
# Raw formation energy   0.03 eV/atom

***

# ScI2OF PBE-GGA optimized geometry
data_ScI2OF
_chemical_formula_sum 'Sc1 I2 O1 F1'
_cell_length_a 5.965
_cell_length_b 5.965
_cell_length_c 3.805
_cell_angle_alpha 90.00
_cell_angle_beta 90.00
_cell_angle_gamma 90.00
_symmetry_space_group_name_H-M 'P 4/m m m'
_symmetry_Int_Tables_number 123
_symmetry_space_group_name_Hall '-P 4 2'
loop_
_atom_site_label
_atom_site_type_symbol
_atom_site_fract_x
_atom_site_fract_y
_atom_site_fract_z
Sc1 Sc 0.000 0.000 0.000
I1 I 0.000 0.500 0.000
O1 O 0.000 0.000 0.500
F1 F 0.500 0.500 0.500
# Calculated total energy   -21.8 eV/cell
# Energy above the most stable polymorph in this dataset   0 meV/atom
# V   27.1 Å³ per atom
# Raw formation energy   -1.11 eV/atom